Computed, not measured: a geometry-optimized CaHAu structure at the GGA-PBE level of DFT.

Values from the calculation:
**ΔE to the lowest computed polymorph**: 25.12 kJ per mole of atoms
**Theoretical density**: 6.33 g/cm3
**Density of states at the Fermi level**: 1.11 states/eV per cell

Cell: 3.637 3.401 5.335 Å, 90.00 108.81 90.00°
Element x y z (fractional)
Ca  0.000  0.000  0.000
H  0.134  0.500  0.283
Au  0.330  0.500  0.646